No. 1
An optimized crystal structure of Nd4NiGe8. Source: Alexandria via LeMat-Bulk, functional GGA-PBE.

Structure (CIF):
```
data_Nd4NiGe8
_symmetry_space_group_name_H-M 'P m m 2'
_symmetry_Int_Tables_number 25
_symmetry_space_group_name_Hall 'P 2 -2'
_cell_length_a 4.072
_cell_length_b 4.207
_cell_length_c 16.820
_cell_angle_alpha 90.00
_cell_angle_beta 90.00
_cell_angle_gamma 90.00
loop_
_atom_site_label
_atom_site_type_symbol
_atom_site_fract_x
_atom_site_fract_y
_atom_site_fract_z
_atom_site_occupancy
Nd1 Nd 0.000 0.000 0.000 1
Nd2 Nd 0.000 0.500 0.498 1
Nd3 Nd 0.500 0.000 0.788 1
Nd4 Nd 0.500 0.500 0.288 1
Ni1 Ni 0.000 0.000 0.207 1
Ge1 Ge 0.000 0.000 0.348 1
Ge2 Ge 0.000 0.000 0.640 1
Ge3 Ge 0.000 0.500 0.136 1
Ge4 Ge 0.000 0.500 0.844 1
Ge5 Ge 0.500 0.000 0.137 1
Ge6 Ge 0.500 0.000 0.443 1
Ge7 Ge 0.500 0.500 0.646 1
Ge8 Ge 0.500 0.500 0.939 1
```

Properties
Total magnetization (μB per formula unit): 0.000
E_form (eV/f.u.): -8.4
DOS(E_F) (states/eV per cell): 5.4

No. 2
An optimized crystal structure of CePaCdSn. Source: Alexandria via LeMat-Bulk, functional GGA-PBE.

Structure (CIF):
```
data_CePaCdSn
_symmetry_space_group_name_H-M 'F -4 3 m'
_symmetry_Int_Tables_number 216
_symmetry_space_group_name_Hall 'F -4 2 3'
_cell_length_a 7.573
_cell_length_b 7.573
_cell_length_c 7.573
_cell_angle_alpha 90.00
_cell_angle_beta 90.00
_cell_angle_gamma 90.00
loop_
_atom_site_label
_atom_site_type_symbol
_atom_site_fract_x
_atom_site_fract_y
_atom_site_fract_z
_atom_site_occupancy
Ce1 Ce 0.000 0.000 0.000 1
Pa1 Pa 0.000 0.000 0.500 1
Cd1 Cd 0.250 0.250 0.250 1
Sn1 Sn 0.250 0.250 0.750 1
```

Properties
Total magnetization (μB per formula unit): 2.666
E_form (eV/f.u.): -0.2
DOS(E_F) (states/eV per cell): 53.7

No. 3
An optimized crystal structure of HfGa3. Source: Alexandria via LeMat-Bulk, functional GGA-PBE.

Structure (CIF):
```
data_HfGa3
_symmetry_space_group_name_H-M 'F m m m'
_symmetry_Int_Tables_number 69
_symmetry_space_group_name_Hall '-F 2 2'
_cell_length_a 5.506
_cell_length_b 5.521
_cell_length_c 9.085
_cell_angle_alpha 90.00
_cell_angle_beta 90.00
_cell_angle_gamma 90.00
loop_
_atom_site_label
_atom_site_type_symbol
_atom_site_fract_x
_atom_site_fract_y
_atom_site_fract_z
_atom_site_occupancy
Hf1 Hf 0.000 0.000 0.000 1
Ga1 Ga 0.000 0.000 0.500 1
Ga2 Ga 0.250 0.250 0.250 1
```

Properties
Total magnetization (μB per formula unit): 0.000
E_form (eV/f.u.): -1.5
DOS(E_F) (states/eV per cell): 5.2

No. 4
An optimized crystal structure of NbGa2Os2. Source: Alexandria via LeMat-Bulk, functional GGA-PBE.

Structure (CIF):
```
data_NbGa2Os2
_symmetry_space_group_name_H-M 'P 4/m b m'
_symmetry_Int_Tables_number 127
_symmetry_space_group_name_Hall '-P 4 2ab'
_cell_length_a 7.249
_cell_length_b 7.249
_cell_length_c 2.911
_cell_angle_alpha 90.00
_cell_angle_beta 90.00
_cell_angle_gamma 90.00
loop_
_atom_site_label
_atom_site_type_symbol
_atom_site_fract_x
_atom_site_fract_y
_atom_site_fract_z
_atom_site_occupancy
Nb1 Nb 0.000 0.000 0.000 1
Ga1 Ga 0.126 0.374 0.000 1
Os1 Os 0.174 0.674 0.500 1
```

Properties
Total magnetization (μB per formula unit): 0.000
Energy relative to the lowest polymorph listed for this composition (kJ/mol of formula units): 0.0
E_form (eV/f.u.): 0.2
DOS(E_F) (states/eV per cell): 11.0

No. 5
An optimized crystal structure of LiP2Br. Source: Alexandria via LeMat-Bulk, functional GGA-PBE.

Structure (CIF):
```
data_LiP2Br
_symmetry_space_group_name_H-M 'F -4 3 m'
_symmetry_Int_Tables_number 216
_symmetry_space_group_name_Hall 'F -4 2 3'
_cell_length_a 6.635
_cell_length_b 6.635
_cell_length_c 6.635
_cell_angle_alpha 90.00
_cell_angle_beta 90.00
_cell_angle_gamma 90.00
loop_
_atom_site_label
_atom_site_type_symbol
_atom_site_fract_x
_atom_site_fract_y
_atom_site_fract_z
_atom_site_occupancy
Li1 Li 0.000 0.000 0.000 1
P1 P 0.000 0.000 0.500 1
P2 P 0.250 0.250 0.250 1
Br1 Br 0.250 0.250 0.750 1
```

Properties
Total magnetization (μB per formula unit): 0.000
Energy relative to the lowest polymorph listed for this composition (kJ/mol of formula units): 324.4
DOS(E_F) (states/eV per cell): 10.8
Formation energy without anion corrections (eV per atom): 0.34

No. 6
An optimized crystal structure of Tl2Au3S2. Source: Alexandria via LeMat-Bulk, functional GGA-PBE.

Structure (CIF):
```
data_Tl2Au3S2
_symmetry_space_group_name_H-M 'P 1 21/c 1'
_symmetry_Int_Tables_number 14
_symmetry_space_group_name_Hall '-P 2ybc'
_cell_length_a 6.490
_cell_length_b 7.769
_cell_length_c 8.752
_cell_angle_alpha 90.00
_cell_angle_beta 123.52
_cell_angle_gamma 90.00
loop_
_atom_site_label
_atom_site_type_symbol
_atom_site_fract_x
_atom_site_fract_y
_atom_site_fract_z
_atom_site_occupancy
Tl1 Tl 0.129 0.147 0.398 1
Au1 Au 0.000 0.000 0.000 1
Au2 Au 0.454 0.589 0.237 1
S1 S 0.359 0.655 0.569 1
```

Properties
Total magnetization (μB per formula unit): 0.000
DOS(E_F) (states/eV per cell): 4.5
Formation energy without anion corrections (eV per atom): -0.12

- Which of these has the highest total magnetization?
  CePaCdSn

- The lowest DOS(E_F) belongs to which entry?
  Tl2Au3S2